1.
First-principles (GGA-PBE) data for an optimized crystal structure of YMoCl, as listed in Alexandria via LeMat-Bulk.

Values from the calculation:
Volume: 64 Å³/cell
ΔE_f (raw): 539 meV/atom
E: -17.52 eV per cell
Excess energy over the best structure of this formula in the dataset: 0.552 eV/atom

Cell lengths 4.486, 4.486, 4.486 Å; angles 60.00, 60.00, 60.00 degrees
Fractional coordinates of all 3 atoms:
Mo  0.000  0.000  0.000
Cl  0.750  0.750  0.750
Y  0.500  0.500  0.500

***

2.
First-principles (GGA-PBE) data for an optimized crystal structure of Pr12Tm7Pu, as listed in Alexandria via LeMat-Bulk.

Values from the calculation:
Volume: 691 Å³/cell
Formation enthalpy at 0 K: 0.2191 eV/atom
E: -98.60 eV per cell

Cell lengths 6.238, 11.503, 11.503 Å; angles 116.81, 100.41, 100.41 degrees
Fractional coordinates of all 20 atoms:
Tm  0.113  0.761  0.001
Pr  0.500  0.412  0.587
Tm  0.888  0.001  0.240
Pr  0.912  0.413  0.825
Pr  0.500  0.588  0.413
Pr  0.432  0.352  0.000
Pr  0.088  0.587  0.175
Tm  0.352  0.240  0.239
Pu  0.000  0.000  0.000
Tm  0.500  0.000  0.000
Tm  0.887  0.239  0.999
Pr  0.432  0.000  0.352
Pr  0.920  0.352  0.352
Pr  0.568  0.648  0.000
Pr  0.088  0.175  0.588
Pr  0.080  0.648  0.648
Pr  0.912  0.825  0.412
Tm  0.112  0.999  0.760
Pr  0.568  0.000  0.648
Tm  0.648  0.760  0.761

***

3.
First-principles (GGA-PBE) data for an optimized crystal structure of LiLuSbRh, as listed in Alexandria via LeMat-Bulk.

Values from the calculation:
Volume: 71 Å³/cell
ΔE_f (raw): -838 meV/atom
E: -21.26 eV per cell

Cell lengths 4.646, 4.646, 4.646 Å; angles 60.00, 60.00, 60.00 degrees
Fractional coordinates of all 4 atoms:
Rh  0.250  0.250  0.250
Lu  0.500  0.500  0.500
Sb  0.000  0.000  0.000
Li  0.750  0.750  0.750

***

4.
First-principles (GGA-PBE) data for an optimized crystal structure of MgSiRh2, as listed in Alexandria via LeMat-Bulk.

Values from the calculation:
Volume: 56 Å³/cell
ΔE_f (raw): -769 meV/atom
E: -24.80 eV per cell

Cell lengths 2.940, 2.940, 6.496 Å; angles 90.00, 90.00, 90.02 degrees
Fractional coordinates of all 4 atoms:
Rh  0.000  0.000  0.033
Rh  0.000  0.000  0.467
Si  0.500  0.500  0.250
Mg  0.500  0.500  0.750

***

5.
First-principles (GGA-PBE) data for an optimized crystal structure of BeAlFe2, as listed in Alexandria via LeMat-Bulk.

Values from the calculation:
Volume: 99 Å³/cell
Formation enthalpy at 0 K: 0.3030 eV/atom
E: -46.36 eV per cell

Cell lengths 3.448, 3.448, 8.686 Å; angles 78.55, 78.55, 90.00 degrees
Fractional coordinates of all 8 atoms:
Al  0.750  0.250  0.500
Fe  0.875  0.860  0.750
Be  0.500  0.500  0.000
Be  0.250  0.750  0.500
Fe  0.140  0.625  0.250
Al  0.000  0.000  0.000
Fe  0.375  0.390  0.750
Fe  0.610  0.125  0.250

***

6.
First-principles (GGA-PBE) data for an optimized crystal structure of NaMn2CdTe, as listed in Alexandria via LeMat-Bulk.

Values from the calculation:
Volume: 133 Å³/cell
ΔE_f (raw): 1149 meV/atom
E: -17.97 eV per cell

Cell lengths 5.104, 5.104, 5.091 Å; angles 90.00, 90.00, 90.00 degrees
Fractional coordinates of all 5 atoms:
Cd  0.000  0.000  0.500
Na  0.000  0.000  0.000
Te  0.500  0.500  0.500
Mn  0.500  0.000  0.000
Mn  0.000  0.500  0.000

***

7.
First-principles (GGA-PBE) data for an optimized crystal structure of Ho2CuGe3Pt4, as listed in Alexandria via LeMat-Bulk.

Values from the calculation:
Volume: 184 Å³/cell
Formation enthalpy at 0 K: -0.8213 eV/atom
E: -59.48 eV per cell

Cell lengths 4.212, 4.212, 10.369 Å; angles 90.00, 90.00, 90.00 degrees
Fractional coordinates of all 10 atoms:
Pt  0.500  0.000  0.634
Cu  0.500  0.500  0.500
Ge  0.000  0.000  0.500
Pt  0.000  0.000  0.000
Ge  0.000  0.500  0.135
Ho  0.500  0.000  0.260
Pt  0.000  0.500  0.366
Ge  0.500  0.000  0.865
Pt  0.500  0.500  0.000
Ho  0.000  0.500  0.740

***

8.
First-principles (GGA-PBE) data for an optimized crystal structure of Pa3As2H, as listed in Alexandria via LeMat-Bulk.

Values from the calculation:
Volume: 253 Å³/cell
E: -86.82 eV per cell

Cell lengths 6.684, 6.573, 6.573 Å; angles 118.88, 90.00, 90.00 degrees
Fractional coordinates of all 12 atoms:
H  0.719  0.784  0.784
Pa  0.970  0.121  0.879
As  0.220  0.842  0.465
Pa  0.970  0.879  0.121
As  0.220  0.465  0.842
As  0.720  0.535  0.158
H  0.219  0.216  0.216
Pa  0.470  0.121  0.879
Pa  0.470  0.879  0.121
Pa  0.969  0.500  0.500
Pa  0.469  0.500  0.500
As  0.720  0.158  0.535

***

Repeat the eighth record exactly.
First-principles (GGA-PBE) data for an optimized crystal structure of Pa3As2H, as listed in Alexandria via LeMat-Bulk.

Values from the calculation:
Volume: 253 Å³/cell
E: -86.82 eV per cell

Cell lengths 6.684, 6.573, 6.573 Å; angles 118.88, 90.00, 90.00 degrees
Fractional coordinates of all 12 atoms:
H  0.719  0.784  0.784
Pa  0.970  0.121  0.879
As  0.220  0.842  0.465
Pa  0.970  0.879  0.121
As  0.220  0.465  0.842
As  0.720  0.535  0.158
H  0.219  0.216  0.216
Pa  0.470  0.121  0.879
Pa  0.470  0.879  0.121
Pa  0.969  0.500  0.500
Pa  0.469  0.500  0.500
As  0.720  0.158  0.535

***

What did the first record say?
First-principles (GGA-PBE) data for an optimized crystal structure of YMoCl, as listed in Alexandria via LeMat-Bulk.

Values from the calculation:
Volume: 64 Å³/cell
ΔE_f (raw): 539 meV/atom
E: -17.52 eV per cell
Excess energy over the best structure of this formula in the dataset: 0.552 eV/atom

Cell lengths 4.486, 4.486, 4.486 Å; angles 60.00, 60.00, 60.00 degrees
Fractional coordinates of all 3 atoms:
Mo  0.000  0.000  0.000
Cl  0.750  0.750  0.750
Y  0.500  0.500  0.500

***

Q: What is the E in the fourth record?
A: -24.80 eV per cell

***

Q: volume of number 5 (BeAlFe2)?
A: 99 Å³/cell